Entry 1:
The following is a DFT calculation (PBE) of a relaxed structure of TcOs2Rh.

Cell: 2.7108 3.8960 5.4330 Å, 90.00 90.00 90.00°
With the nearest neighbours (Å) after each atom.
Fractional positions:
Os (0.0000, 0.0000, 0.9956)  4 Os 2.67-2.76, 4 Tc 2.72, 4 Rh 2.75
Os (0.0000, 0.0000, 0.5044)  4 Os 2.67-2.76, 4 Tc 2.72, 4 Rh 2.75
Rh (0.5000, 0.5000, 0.2500)  2 Rh 2.71, 2 Tc 2.72, 8 Os 2.75
Tc (0.5000, 0.5000, 0.7500)  2 Tc 2.71, 2 Rh 2.72, 8 Os 2.72

Output
For the formation energy, the calculation gives 0.06 eV per atom.

Entry 2:
The following is a DFT calculation (PBE) of a relaxed structure of Tc2OsRh.

Cell: 4.6983 4.6983 4.7019 Å, 131.22 131.22 71.41°
With the nearest neighbours (Å) after each atom.
Fractional positions:
Tc (0.0000, 0.0000, 0.0000)  4 Tc 2.72, 4 Rh 2.72, 4 Os 2.74-2.75
Tc (0.2500, 0.7500, 0.5000)  4 Os 2.72, 4 Tc 2.72, 4 Rh 2.74-2.75
Os (0.5000, 0.5000, 0.0000)  8 Tc 2.72-2.75, 4 Rh 2.72
Rh (0.7500, 0.2500, 0.5000)  8 Tc 2.72-2.75, 4 Os 2.72

Output
For the formation energy, the calculation gives 0.00 eV per atom.

Entry 3:
The following is a DFT calculation (PBE) of a relaxed structure of TcOs2Rh.

Cell: 2.7180 3.8767 5.4469 Å, 90.00 90.00 90.00°
With the nearest neighbours (Å) after each atom.
Fractional positions:
Tc (0.5000, 0.5000, 0.7524)  6 Os 2.66-2.78, 2 Tc 2.72, 4 Rh 2.73
Os (0.0000, 0.0000, 0.0043)  6 Os 2.70-2.72, 2 Rh 2.71-2.74, 4 Tc 2.74
Os (0.5000, 0.5000, 0.2412)  2 Tc 2.66-2.78, 6 Os 2.70-2.72, 4 Rh 2.76
Rh (0.0000, 0.0000, 0.5021)  6 Os 2.71-2.76, 2 Rh 2.72, 4 Tc 2.73

Output
For the formation energy, the calculation gives 0.04 eV per atom.

Entry 4:
The following is a DFT calculation (PBE) of a relaxed structure of Tc2OsRh.

Cell: 4.7274 4.7274 4.7429 Å, 80.36 80.36 33.54°
With the nearest neighbours (Å) after each atom.
Fractional positions:
Os (0.5029, 0.5029, 0.4867)  7 Tc 2.67-2.79, 2 Os 2.73, 3 Rh 2.76-2.77
Tc (0.2477, 0.2477, 0.2581)  3 Os 2.67-2.72, 4 Rh 2.72-2.75, 5 Tc 2.73-2.75
Tc (0.9989, 0.9989, 0.0021)  4 Os 2.68-2.79, 3 Rh 2.72-2.74, 5 Tc 2.73-2.75
Rh (0.7504, 0.7504, 0.7532)  7 Tc 2.72-2.75, 2 Rh 2.73, 3 Os 2.76-2.77

Output
For the formation energy, the calculation gives 0.01 eV per atom.

Entry 5:
The following is a DFT calculation (PBE) of a relaxed structure of TcOs2Rh.

Cell: 3.2548 3.2548 5.5444 Å, 90.00 90.00 90.00°
With the nearest neighbours (Å) after each atom.
Fractional positions:
Os (0.0000, 0.0000, 0.0048)  4 Rh 2.67, 4 Tc 2.70, 2 Os 2.72-2.83
Os (0.0000, 0.0000, 0.4952)  4 Rh 2.67, 4 Tc 2.70, 2 Os 2.72-2.83
Tc (0.5000, 0.5000, 0.7500)  8 Os 2.70, 2 Rh 2.77
Rh (0.5000, 0.5000, 0.2500)  8 Os 2.67, 2 Tc 2.77

Output
For the formation energy, the calculation gives 0.47 eV per atom.

Entry 6:
The following is a DFT calculation (PBE) of a relaxed structure of TcOs2Rh.

Cell: 4.7219 4.7219 2.7269 Å, 90.00 90.00 109.48°
With the nearest neighbours (Å) after each atom.
Fractional positions:
Os (0.0000, 0.0000, 0.0000)  4 Os 2.73, 4 Rh 2.73, 4 Tc 2.73
Os (0.5000, 0.5000, 0.0000)  4 Os 2.73, 4 Tc 2.73, 4 Rh 2.73
Tc (0.0000, 0.5000, 0.5000)  2 Rh 2.73, 8 Os 2.73, 2 Tc 2.73
Rh (0.5000, 0.0000, 0.5000)  2 Tc 2.73, 8 Os 2.73, 2 Rh 2.73

Output
For the formation energy, the calculation gives 0.07 eV per atom.

Entry 7:
The following is a DFT calculation (PBE) of a relaxed structure of TcOs2Rh.

Cell: 4.7291 4.7291 4.7291 Å, 80.52 80.52 33.43°
With the nearest neighbours (Å) after each atom.
Fractional positions:
Os (0.0011, 0.0011, 0.9951)  5 Os 2.68-2.73, 4 Rh 2.72-2.74, 3 Tc 2.72-2.75
Os (0.7465, 0.7465, 0.7602)  5 Os 2.68-2.73, 4 Tc 2.68-2.77, 3 Rh 2.74-2.77
Rh (0.4996, 0.4996, 0.4977)  3 Tc 2.71-2.75, 7 Os 2.72-2.77, 2 Rh 2.72
Tc (0.2527, 0.2527, 0.2470)  7 Os 2.68-2.77, 3 Rh 2.71-2.75, 2 Tc 2.72

Output
For the formation energy, the calculation gives 0.05 eV per atom.

Entry 8:
The following is a DFT calculation (PBE) of a relaxed structure of Tc4OsRh.

Cell: 5.0413 5.0413 5.0413 Å, 60.00 60.00 60.00°
With the nearest neighbours (Å) after each atom.
Fractional positions:
Tc (0.3742, 0.8773, 0.3742)  6 Tc 2.51-2.54
Tc (0.8773, 0.3742, 0.3742)  6 Tc 2.51-2.54
Tc (0.3742, 0.3742, 0.3742)  6 Tc 2.51-2.54
Tc (0.3742, 0.3742, 0.8773)  6 Tc 2.51-2.54
Os (0.7500, 0.7500, 0.7500)  12 Tc 2.96, 4 Rh 3.09
Rh (0.0000, 0.0000, 0.0000)  12 Tc 2.95, 4 Os 3.09

Output
For the formation energy, the calculation gives 0.37 eV per atom.